Entry 1:
Material: NpTlAuS3
Method: DFT, PBE
State: relaxed

As for the calculated volume: 25.0 Å³ per atom. The total energy comes out at -5.943 eV/atom.

```
data_NpTlAuS3
_chemical_formula_sum 'Np4 Tl4 Au4 S12'
_cell_length_a 4.079
_cell_length_b 14.254
_cell_length_c 10.302
_cell_angle_alpha 90.00
_cell_angle_beta 90.00
_cell_angle_gamma 90.00
_space_group_name_H-M_alt 'C m c m'
_space_group_IT_number 63
_space_group_name_Hall '-C 2c 2'
loop_
_atom_site_label
_atom_site_fract_x
_atom_site_fract_y
_atom_site_fract_z
Np1 0.000 0.000 0.000
Tl1 0.000 0.266 0.250
Au1 0.000 0.419 0.750
S1 0.000 0.054 0.750
S2 0.000 0.375 0.527
```

=====

Entry 2:
Material: NpScAu
Method: DFT, PBE
State: relaxed

As for the calculated volume: 24.3 Å³ per atom. The formation energy is 444.9 meV per atom. The total energy comes out at -7.010 eV/atom.

```
data_NpScAu
_chemical_formula_sum 'Np4 Sc4 Au4'
_cell_length_a 6.631
_cell_length_b 6.631
_cell_length_c 6.631
_cell_angle_alpha 90.00
_cell_angle_beta 90.00
_cell_angle_gamma 90.00
_space_group_name_H-M_alt 'F -4 3 m'
_space_group_IT_number 216
_space_group_name_Hall 'F -4 2 3'
loop_
_atom_site_label
_atom_site_fract_x
_atom_site_fract_y
_atom_site_fract_z
Np1 0.000 0.000 0.000
Sc1 0.250 0.250 0.750
Au1 0.000 0.000 0.500
```

=====

Entry 3:
Material: NpTlAuSe3
Method: DFT, PBE
State: relaxed

As for the calculated volume: 27.4 Å³ per atom. The total energy comes out at -5.541 eV/atom.

```
data_NpTlAuSe3
_chemical_formula_sum 'Np4 Tl4 Au4 Se12'
_cell_length_a 4.172
_cell_length_b 14.724
_cell_length_c 10.709
_cell_angle_alpha 90.00
_cell_angle_beta 90.00
_cell_angle_gamma 90.00
_space_group_name_H-M_alt 'C m c m'
_space_group_IT_number 63
_space_group_name_Hall '-C 2c 2'
loop_
_atom_site_label
_atom_site_fract_x
_atom_site_fract_y
_atom_site_fract_z
Np1 0.000 0.000 0.000
Tl1 0.000 0.243 0.250
Au1 0.000 0.453 0.750
Se1 0.000 0.070 0.750
Se2 0.000 0.370 0.539
```

=====

Entry 4:
Material: NpSiAu
Method: DFT, PBE
State: relaxed

As for the calculated volume: 24.7 Å³ per atom. The total energy comes out at -6.811 eV/atom.

```
data_NpSiAu
_chemical_formula_sum 'Np4 Si4 Au4'
_cell_length_a 6.665
_cell_length_b 6.665
_cell_length_c 6.665
_cell_angle_alpha 90.00
_cell_angle_beta 90.00
_cell_angle_gamma 90.00
_space_group_name_H-M_alt 'F -4 3 m'
_space_group_IT_number 216
_space_group_name_Hall 'F -4 2 3'
loop_
_atom_site_label
_atom_site_fract_x
_atom_site_fract_y
_atom_site_fract_z
Np1 0.000 0.000 0.000
Si1 0.250 0.250 0.250
Au1 0.250 0.250 0.750
```

=====

Entry 5:
Material: NpSiAu
Method: DFT, PBE
State: relaxed

As for the calculated volume: 22.5 Å³ per atom. The total energy comes out at -7.147 eV/atom.

```
data_NpSiAu
_chemical_formula_sum 'Np4 Si4 Au4'
_cell_length_a 6.467
_cell_length_b 6.467
_cell_length_c 6.467
_cell_angle_alpha 90.00
_cell_angle_beta 90.00
_cell_angle_gamma 90.00
_space_group_name_H-M_alt 'F -4 3 m'
_space_group_IT_number 216
_space_group_name_Hall 'F -4 2 3'
loop_
_atom_site_label
_atom_site_fract_x
_atom_site_fract_y
_atom_site_fract_z
Np1 0.000 0.000 0.000
Si1 0.250 0.250 0.750
Au1 0.000 0.000 0.500
```

=====

Entry 6:
Material: SmNpAu
Method: DFT, PBE
State: relaxed

As for the calculated volume: 30.0 Å³ per atom. The formation energy is 101.7 meV per atom. The total energy comes out at -6.814 eV/atom.

```
data_SmNpAu
_chemical_formula_sum 'Sm4 Np4 Au4'
_cell_length_a 7.116
_cell_length_b 7.116
_cell_length_c 7.116
_cell_angle_alpha 90.00
_cell_angle_beta 90.00
_cell_angle_gamma 90.00
_space_group_name_H-M_alt 'F -4 3 m'
_space_group_IT_number 216
_space_group_name_Hall 'F -4 2 3'
loop_
_atom_site_label
_atom_site_fract_x
_atom_site_fract_y
_atom_site_fract_z
Sm1 0.000 0.000 0.000
Np1 0.000 0.000 0.500
Au1 0.250 0.250 0.750
```

=====

Entry 7:
Material: NpTaAu
Method: DFT, PBE
State: relaxed

As for the calculated volume: 22.8 Å³ per atom. The formation energy is 857.7 meV per atom. The total energy comes out at -8.438 eV/atom.

```
data_NpTaAu
_chemical_formula_sum 'Np4 Ta4 Au4'
_cell_length_a 6.495
_cell_length_b 6.495
_cell_length_c 6.495
_cell_angle_alpha 90.00
_cell_angle_beta 90.00
_cell_angle_gamma 90.00
_space_group_name_H-M_alt 'F -4 3 m'
_space_group_IT_number 216
_space_group_name_Hall 'F -4 2 3'
loop_
_atom_site_label
_atom_site_fract_x
_atom_site_fract_y
_atom_site_fract_z
Np1 0.000 0.000 0.000
Ta1 0.000 0.000 0.500
Au1 0.250 0.250 0.250
```

=====

Entry 8:
Material: TbNpAu
Method: DFT, PBE
State: relaxed

As for the calculated volume: 26.1 Å³ per atom. The formation energy is 474.1 meV per atom. The total energy comes out at -6.414 eV/atom.

```
data_TbNpAu
_chemical_formula_sum 'Tb4 Np4 Au4'
_cell_length_a 6.792
_cell_length_b 6.792
_cell_length_c 6.792
_cell_angle_alpha 90.00
_cell_angle_beta 90.00
_cell_angle_gamma 90.00
_space_group_name_H-M_alt 'F -4 3 m'
_space_group_IT_number 216
_space_group_name_Hall 'F -4 2 3'
loop_
_atom_site_label
_atom_site_fract_x
_atom_site_fract_y
_atom_site_fract_z
Tb1 0.000 0.000 0.000
Np1 0.250 0.250 0.750
Au1 0.000 0.000 0.500
```

=====

Entry 9:
Material: NpTcAu
Method: DFT, PBE
State: relaxed

As for the calculated volume: 22.1 Å³ per atom. The formation energy is 759.2 meV per atom. The total energy comes out at -8.040 eV/atom.

```
data_NpTcAu
_chemical_formula_sum 'Np4 Tc4 Au4'
_cell_length_a 6.423
_cell_length_b 6.423
_cell_length_c 6.423
_cell_angle_alpha 90.00
_cell_angle_beta 90.00
_cell_angle_gamma 90.00
_space_group_name_H-M_alt 'F -4 3 m'
_space_group_IT_number 216
_space_group_name_Hall 'F -4 2 3'
loop_
_atom_site_label
_atom_site_fract_x
_atom_site_fract_y
_atom_site_fract_z
Np1 0.000 0.000 0.000
Tc1 0.000 0.000 0.500
Au1 0.250 0.250 0.250
```

=====

Entry 10:
Material: NpTeAu
Method: DFT, PBE
State: relaxed

As for the calculated volume: 28.8 Å³ per atom. The total energy comes out at -6.360 eV/atom.

```
data_NpTeAu
_chemical_formula_sum 'Np4 Te4 Au4'
_cell_length_a 7.018
_cell_length_b 7.018
_cell_length_c 7.018
_cell_angle_alpha 90.00
_cell_angle_beta 90.00
_cell_angle_gamma 90.00
_space_group_name_H-M_alt 'F -4 3 m'
_space_group_IT_number 216
_space_group_name_Hall 'F -4 2 3'
loop_
_atom_site_label
_atom_site_fract_x
_atom_site_fract_y
_atom_site_fract_z
Np1 0.000 0.000 0.000
Te1 0.250 0.250 0.750
Au1 0.000 0.000 0.500
```

=====

Entry 11:
Material: ThNpAu
Method: DFT, PBE
State: relaxed

As for the calculated volume: 30.1 Å³ per atom. The formation energy is 225.3 meV per atom. The total energy comes out at -7.591 eV/atom.

```
data_ThNpAu
_chemical_formula_sum 'Th4 Np4 Au4'
_cell_length_a 7.120
_cell_length_b 7.120
_cell_length_c 7.120
_cell_angle_alpha 90.00
_cell_angle_beta 90.00
_cell_angle_gamma 90.00
_space_group_name_H-M_alt 'F -4 3 m'
_space_group_IT_number 216
_space_group_name_Hall 'F -4 2 3'
loop_
_atom_site_label
_atom_site_fract_x
_atom_site_fract_y
_atom_site_fract_z
Th1 0.000 0.000 0.000
Np1 0.000 0.000 0.500
Au1 0.250 0.250 0.750
```

=====

Entry 12:
Material: NpUAu
Method: DFT, PBE
State: relaxed

As for the calculated volume: 22.5 Å³ per atom. The formation energy is 419.6 meV per atom. The total energy comes out at -8.691 eV/atom.

```
data_NpUAu
_chemical_formula_sum 'Np4 U4 Au4'
_cell_length_a 6.466
_cell_length_b 6.466
_cell_length_c 6.466
_cell_angle_alpha 90.00
_cell_angle_beta 90.00
_cell_angle_gamma 90.00
_space_group_name_H-M_alt 'F -4 3 m'
_space_group_IT_number 216
_space_group_name_Hall 'F -4 2 3'
loop_
_atom_site_label
_atom_site_fract_x
_atom_site_fract_y
_atom_site_fract_z
Np1 0.000 0.000 0.000
U1 0.250 0.250 0.750
Au1 0.000 0.000 0.500
```

=====

- calculated volume of number 12 (NpUAu)?
  22.5 Å³ per atom

=====

Please write out number 6 again, unchanged.
Material: SmNpAu
Method: DFT, PBE
State: relaxed

As for the calculated volume: 30.0 Å³ per atom. The formation energy is 101.7 meV per atom. The total energy comes out at -6.814 eV/atom.

```
data_SmNpAu
_chemical_formula_sum 'Sm4 Np4 Au4'
_cell_length_a 7.116
_cell_length_b 7.116
_cell_length_c 7.116
_cell_angle_alpha 90.00
_cell_angle_beta 90.00
_cell_angle_gamma 90.00
_space_group_name_H-M_alt 'F -4 3 m'
_space_group_IT_number 216
_space_group_name_Hall 'F -4 2 3'
loop_
_atom_site_label
_atom_site_fract_x
_atom_site_fract_y
_atom_site_fract_z
Sm1 0.000 0.000 0.000
Np1 0.000 0.000 0.500
Au1 0.250 0.250 0.750
```

=====

- What is the formula in the sixth record?
  SmNpAu

=====

- What is the formula in the eighth record?
  TbNpAu